Record 1
Here is a PBEsol-optimized structure of NdNiC2 from the Alexandria database. Energies are from meta-GGA SCAN.

The value obtained for the volume is 103 Å³/cell. The calculated formation energy is -0.34 eV per atom.

It has space group Amm2 (No. 38), with a = 3.7867 Å, b = 4.5050 Å, c = 6.0156 Å, α = 90.00°, β = 90.00° and γ = 90.00°. Symmetry generates all atoms from Nd at (0.0000, 0.0000, 0.0000), Ni at (0.5000, 0.0000, 0.3881) and C at (0.5000, 0.1519, 0.6987).

Record 2
Here is a PBEsol-optimized structure of Nd12Os5C15 from the Alexandria database. Energies are from meta-GGA SCAN.

The value obtained for the volume is 539 Å³/cell. The calculated formation energy is -0.36 eV per atom.

It has space group P-62m (No. 189), with a = 10.8649 Å, b = 10.8649 Å, c = 5.2735 Å, α = 90.00°, β = 90.00° and γ = 120.00°. Symmetry generates all atoms from Nd at (0.0000, 0.4281, 0.0000), Nd at (0.0000, 0.7948, 0.0000), Nd at (0.1853, 0.7265, 0.5000), Os at (0.0000, 0.1604, 0.5000), Os at (0.3333, 0.6667, 0.0000), C at (0.0000, 0.3324, 0.5000), C at (0.0000, 0.4551, 0.5000), C at (0.0000, 0.7988, 0.5000) and C at (0.1855, 0.7128, 0.0000).

Record 3
Here is a PBEsol-optimized structure of NdSiOs2C from the Alexandria database. Energies are from meta-GGA SCAN.

The value obtained for the volume is 310 Å³/cell. The uncorrected formation energy is -565 meV/atom.

It has space group Cmcm (No. 63), with a = 3.9416 Å, b = 11.0389 Å, c = 7.1274 Å, α = 90.00°, β = 90.00° and γ = 90.00°. Symmetry generates all atoms from Nd at (0.0000, 0.0496, 0.2500), Si at (0.0000, 0.2296, 0.7500), Os at (0.0000, 0.3335, 0.0601) and C at (0.0000, 0.5000, 0.0000).